w:
DFT (PBE) results for an optimized crystal structure of ZnCo2HPt.

The space group is P4/mmm (No. 123) and the conventional cell measures 3.622, 3.622 and 4.084 Å, with angles of 90.00, 90.00 and 90.00 degrees. The asymmetric unit holds Zn at (0.000, 0.000, 0.000), Co at (0.000, 0.500, 0.500), H at (0.000, 0.000, 0.500) and Pt at (0.500, 0.500, 0.000).

=====

x:
DFT (PBE) results for an optimized crystal structure of ZnCo2HPt.

The space group is P4/mmm (No. 123) and the conventional cell measures 3.679, 3.679 and 3.975 Å, with angles of 90.00, 90.00 and 90.00 degrees. The asymmetric unit holds Zn at (0.000, 0.000, 0.000), Co at (0.000, 0.500, 0.500), H at (0.500, 0.500, 0.500) and Pt at (0.500, 0.500, 0.000).

=====

Energy relative to the most stable one, in eV/atom: w 0.032; x 0.000

=====

w:
DFT (PBE) results for an optimized crystal structure of PuCoH.

The space group is I4mm (No. 107) and the conventional cell measures 2.699, 2.699 and 9.471 Å, with angles of 90.00, 90.00 and 90.00 degrees. The asymmetric unit holds Pu at (0.000, 0.000, 0.000), Co at (0.000, 0.000, 0.730) and H at (0.000, 0.000, 0.249).

=====

x:
DFT (PBE) results for an optimized crystal structure of PuCoH.

The space group is P-1 (No. 2) and the conventional cell measures 3.632, 3.658 and 6.722 Å, with angles of 90.04, 105.63 and 90.00 degrees. The asymmetric unit holds Pu at (0.129, 0.251, 0.259), Co at (0.439, 0.250, 0.878) and H at (0.316, 0.247, 0.626).

=====

Energy relative to the most stable one, in eV/atom: w 0.389; x 0.000

=====

w:
DFT (PBE) results for an optimized crystal structure of PuCoH2.

The space group is R-3m (No. 166, hexagonal axes) and the conventional cell measures 4.0080, 4.0080 and 9.8241 Å, with angles of 90.00, 90.00 and 120.00 degrees. The asymmetric unit holds Pu at (0.0000, 0.0000, 0.0000), Co at (0.0000, 0.0000, 0.5000) and H at (0.0000, 0.0000, 0.3390).

=====

x:
DFT (PBE) results for an optimized crystal structure of PuCoH2.

The space group is Pnma (No. 62) and the conventional cell measures 6.425, 3.420 and 6.718 Å, with angles of 90.00, 90.00 and 90.00 degrees. The asymmetric unit holds Pu at (0.109, 0.250, 0.064), Co at (0.050, 0.250, 0.628), H at (0.038, 0.750, 0.618) and H at (0.231, 0.750, 0.260).

=====

Energy relative to the most stable one, in eV/atom: w 0.000; x 0.064

=====

w:
DFT (PBE) results for an optimized crystal structure of Rb2Co2H.

The space group is P4/mbm (No. 127) and the conventional cell measures 8.444, 8.444 and 4.495 Å, with angles of 90.00, 90.00 and 90.00 degrees. The asymmetric unit holds Rb at (0.202, 0.298, 0.000), Co at (0.085, 0.585, 0.500) and H at (0.000, 0.000, 0.500).

=====

x:
DFT (PBE) results for an optimized crystal structure of Rb2Co2H.

The space group is I4/mmm (No. 139) and the conventional cell measures 6.505, 6.505 and 6.133 Å, with angles of 90.00, 90.00 and 90.00 degrees. The asymmetric unit holds Rb at (0.000, 0.500, 0.250), Co at (0.000, 0.000, 0.179) and H at (0.000, 0.000, 0.500).

=====

Energy relative to the most stable one, in eV/atom: w 0.200; x 0.000

=====

w:
DFT (PBE) results for an optimized crystal structure of RbCo2H.

The space group is Fm-3m (No. 225) and the conventional cell measures 6.333, 6.333 and 6.333 Å, with angles of 90.00, 90.00 and 90.00 degrees. The asymmetric unit holds Rb at (0.000, 0.000, 0.000), Co at (0.250, 0.250, 0.250) and H at (0.000, 0.000, 0.500).

=====

x:
DFT (PBE) results for an optimized crystal structure of RbCo2H.

The space group is Fd-3m (No. 227, origin choice 2) and the conventional cell measures 7.869, 7.869 and 7.869 Å, with angles of 90.00, 90.00 and 90.00 degrees. The asymmetric unit holds Rb at (0.125, 0.125, 0.125), Co at (0.000, 0.000, 0.500) and H at (0.125, 0.125, 0.625).

=====

Energy relative to the most stable one, in eV/atom: w 1.270; x 0.000

=====

w:
DFT (PBE) results for an optimized crystal structure of RbCo3H.

The space group is Pm-3m (No. 221) and the conventional cell measures 4.863, 4.863 and 4.863 Å, with angles of 90.00, 90.00 and 90.00 degrees. The asymmetric unit holds Rb at (0.000, 0.000, 0.000), Co at (0.000, 0.000, 0.500) and H at (0.500, 0.500, 0.500).

=====

x:
DFT (PBE) results for an optimized crystal structure of RbCo3H.

The space group is Pm-3m (No. 221) and the conventional cell measures 4.052, 4.052 and 4.052 Å, with angles of 90.00, 90.00 and 90.00 degrees. The asymmetric unit holds Rb at (0.000, 0.000, 0.000), Co at (0.000, 0.500, 0.500) and H at (0.500, 0.500, 0.500).

=====

Energy relative to the most stable one, in eV/atom: w 1.793; x 0.000

=====

w:
DFT (PBE) results for an optimized crystal structure of Rb2CoH.

The space group is Fm-3m (No. 225) and the conventional cell measures 8.149, 8.149 and 8.149 Å, with angles of 90.00, 90.00 and 90.00 degrees. The asymmetric unit holds Rb at (0.250, 0.250, 0.250), Co at (0.000, 0.000, 0.000) and H at (0.000, 0.000, 0.500).

=====

x:
DFT (PBE) results for an optimized crystal structure of Rb2CoH.

The space group is I-42d (No. 122) and the conventional cell measures 8.341, 8.341 and 9.053 Å, with angles of 90.00, 90.00 and 90.00 degrees. The asymmetric unit holds Rb at (0.173, 0.750, 0.125), Co at (0.000, 0.000, 0.500) and H at (0.000, 0.000, 0.000).

=====

Energy relative to the most stable one, in eV/atom: w 0.149; x 0.000

=====

w:
DFT (PBE) results for an optimized crystal structure of CoRe3H.

The space group is Pm-3m (No. 221) and the conventional cell measures 3.871, 3.871 and 3.871 Å, with angles of 90.00, 90.00 and 90.00 degrees. The asymmetric unit holds Co at (0.000, 0.000, 0.000), Re at (0.000, 0.500, 0.500) and H at (0.500, 0.500, 0.500).

=====

x:
DFT (PBE) results for an optimized crystal structure of CoRe3H.

The space group is Pm-3m (No. 221) and the conventional cell measures 4.400, 4.400 and 4.400 Å, with angles of 90.00, 90.00 and 90.00 degrees. The asymmetric unit holds Co at (0.000, 0.000, 0.000), Re at (0.000, 0.000, 0.500) and H at (0.500, 0.500, 0.500).

=====

Energy relative to the most stable one, in eV/atom: w 0.000; x 2.258

=====

w:
DFT (PBE) results for an optimized crystal structure of Co2ReH.

The space group is I-42d (No. 122) and the conventional cell measures 5.054, 5.054 and 6.177 Å, with angles of 90.00, 90.00 and 90.00 degrees. The asymmetric unit holds Co at (0.106, 0.750, 0.125), Re at (0.000, 0.000, 0.500) and H at (0.000, 0.000, 0.000).

=====

x:
DFT (PBE) results for an optimized crystal structure of Co2ReH.

The space group is P4/mmm (No. 123) and the conventional cell measures 2.602, 2.602 and 5.877 Å, with angles of 90.00, 90.00 and 90.00 degrees. The asymmetric unit holds Co at (0.000, 0.000, 0.198), Re at (0.500, 0.500, 0.500) and H at (0.500, 0.500, 0.000).

=====

y:
DFT (PBE) results for an optimized crystal structure of Co2ReH.

The space group is R-3m (No. 166, hexagonal axes) and the conventional cell measures 2.6557, 2.6557 and 19.0200 Å, with angles of 90.00, 90.00 and 120.00 degrees. The asymmetric unit holds Co at (0.0000, 0.0000, 0.2221), Re at (0.0000, 0.0000, 0.0000) and H at (0.0000, 0.0000, 0.5000).

=====

z:
DFT (PBE) results for an optimized crystal structure of Co2ReH.

The space group is Fm-3m (No. 225) and the conventional cell measures 5.583, 5.583 and 5.583 Å, with angles of 90.00, 90.00 and 90.00 degrees. The asymmetric unit holds Co at (0.250, 0.250, 0.250), Re at (0.000, 0.000, 0.000) and H at (0.000, 0.000, 0.500).

=====

Energy relative to the most stable one, in eV/atom: w 0.290; x 0.253; y 0.000; z 0.739

=====

w:
DFT (PBE) results for an optimized crystal structure of Co3ReH.

The space group is Pm-3m (No. 221) and the conventional cell measures 4.473, 4.473 and 4.473 Å, with angles of 90.00, 90.00 and 90.00 degrees. The asymmetric unit holds Co at (0.000, 0.000, 0.500), Re at (0.000, 0.000, 0.000) and H at (0.500, 0.500, 0.500).

=====

x:
DFT (PBE) results for an optimized crystal structure of Co3ReH.

The space group is Pm-3m (No. 221) and the conventional cell measures 3.627, 3.627 and 3.627 Å, with angles of 90.00, 90.00 and 90.00 degrees. The asymmetric unit holds Co at (0.000, 0.000, 0.500), Re at (0.500, 0.500, 0.500) and H at (0.000, 0.000, 0.000).

=====

Energy relative to the most stable one, in eV/atom: w 1.956; x 0.000

=====

w:
DFT (PBE) results for an optimized crystal structure of CoRe2H2.

The space group is I4/mmm (No. 139) and the conventional cell measures 2.917, 2.917 and 10.854 Å, with angles of 90.00, 90.00 and 90.00 degrees. The asymmetric unit holds Co at (0.000, 0.000, 0.000), Re at (0.000, 0.000, 0.359) and H at (0.000, 0.500, 0.250).

=====

x:
DFT (PBE) results for an optimized crystal structure of CoRe2H2.

The space group is P4/mbm (No. 127) and the conventional cell measures 5.710, 5.710 and 2.842 Å, with angles of 90.00, 90.00 and 90.00 degrees. The asymmetric unit holds Co at (0.000, 0.000, 0.000), Re at (0.150, 0.350, 0.500) and H at (0.189, 0.689, 0.000).

=====

Energy relative to the most stable one, in eV/atom: w 0.000; x 0.044

=====

w:
DFT (PBE) results for an optimized crystal structure of CoReHRh2.

The space group is P4/mmm (No. 123) and the conventional cell measures 3.819, 3.819 and 3.914 Å, with angles of 90.00, 90.00 and 90.00 degrees. The asymmetric unit holds Co at (0.000, 0.000, 0.000), Re at (0.500, 0.500, 0.000), H at (0.500, 0.500, 0.500) and Rh at (0.000, 0.500, 0.500).

=====

x:
DFT (PBE) results for an optimized crystal structure of CoReHRh2.

The space group is P4/mmm (No. 123) and the conventional cell measures 3.839, 3.839 and 3.819 Å, with angles of 90.00, 90.00 and 90.00 degrees. The asymmetric unit holds Co at (0.000, 0.000, 0.000), Re at (0.500, 0.500, 0.000), H at (0.000, 0.000, 0.500) and Rh at (0.000, 0.500, 0.500).

=====

Energy relative to the most stable one, in eV/atom: w 0.049; x 0.000